Entry 1:
Below is a relaxed SiTcAg2 crystal, with properties calculated at the GGA-PBE level.

extended XYZ file:
```
4
Lattice="5.691 0.020 0.009 4.960 2.790 0.009 1.656 0.437 4.004" Properties=species:S:1:pos:R:3 pbc="T T T"
Tc 3.077 0.812 1.005
Ag 5.873 1.550 2.135
Ag 1.937 0.511 3.880
Si 9.231 2.436 3.016
```

SG: No. 71
Formation energy without anion corrections (eV/atom): 0.21
Density (Mg/m³): 9.0

Entry 2:
Below is a relaxed SrY2Zr2 crystal, with properties calculated at the GGA-PBE level.

extended XYZ file:
```
10
Lattice="-4.028 4.686 -7.141 -2.949 -8.173 -3.700 -2.934 0.239 1.812" Properties=species:S:1:pos:R:3 pbc="T T T"
Zr -3.300 0.308 -2.088
Zr -5.800 1.303 -6.269
Zr -4.111 -4.551 -2.761
Zr -6.611 -3.556 -6.941
Y -5.367 -1.017 -8.558
Y -1.610 -2.470 -2.283
Y -2.891 1.905 -4.934
Y -4.086 -5.391 -5.907
Sr -3.489 -1.743 -5.420
Sr 0.000 0.000 0.000
```

SG: No. 127
Density (Mg/m³): 4.8
ΔH_f (0 K) (eV/atom): 0.2913
ΔE to the lowest computed polymorph (eV per atom): 0.069

Number 1: final energy -0.380 Ry per atom. Number 2: final energy -0.445 Ry per atom.